# PBE-GGA MnTc4, relaxed
# Total magnetization = 1.554 μB/cell
# Formation energy = 96.8 meV per atom
data_MnTc4
_space_group_name_H-M_alt 'P 1'
_space_group_IT_number 1
_space_group_name_Hall 'P 1'
_cell_length_a 4.693
_cell_length_b 4.693
_cell_length_c 4.693
_cell_angle_alpha 99.65
_cell_angle_beta 99.65
_cell_angle_gamma 131.66
loop_
_atom_site_label
_atom_site_fract_x
_atom_site_fract_y
_atom_site_fract_z
Tc1 0.602 0.203 0.805
Mn1 0.000 0.000 0.000
Tc2 0.203 0.398 0.601
Tc3 0.797 0.602 0.399
Tc4 0.398 0.797 0.195

***

# PBE-GGA MnTc, relaxed
# Total magnetization = 0.000 μB/cell
# Formation energy = 1054.5 meV per atom
data_MnTc
_space_group_name_H-M_alt 'P 1'
_space_group_IT_number 1
_space_group_name_Hall 'P 1'
_cell_length_a 4.109
_cell_length_b 4.109
_cell_length_c 4.587
_cell_angle_alpha 90.00
_cell_angle_beta 90.00
_cell_angle_gamma 120.00
loop_
_atom_site_label
_atom_site_fract_x
_atom_site_fract_y
_atom_site_fract_z
Tc1 0.333 0.667 0.750
Mn1 0.667 0.333 0.750
Tc2 0.667 0.333 0.250
Mn2 0.333 0.667 0.250

***

# PBE-GGA Mn4Tc3, relaxed
# Total magnetization = 0.455 μB/cell
# Formation energy = 103.4 meV per atom
data_Mn4Tc3
_space_group_name_H-M_alt 'P 1'
_space_group_IT_number 1
_space_group_name_Hall 'P 1'
_cell_length_a 13.042
_cell_length_b 13.042
_cell_length_c 13.042
_cell_angle_alpha 168.41
_cell_angle_beta 168.41
_cell_angle_gamma 16.42
loop_
_atom_site_label
_atom_site_fract_x
_atom_site_fract_y
_atom_site_fract_z
Tc1 0.291 0.291 0.000
Tc2 0.000 0.000 0.000
Tc3 0.709 0.709 0.000
Mn1 0.427 0.427 0.000
Mn2 0.573 0.573 0.000
Mn3 0.137 0.137 0.000
Mn4 0.863 0.863 0.000

***

# PBE-GGA Mn3Tc2, relaxed
# Total magnetization = 0.002 μB/cell
# Formation energy = 177.1 meV per atom
data_Mn3Tc2
_space_group_name_H-M_alt 'P 1'
_space_group_IT_number 1
_space_group_name_Hall 'P 1'
_cell_length_a 10.656
_cell_length_b 10.656
_cell_length_c 10.656
_cell_angle_alpha 14.11
_cell_angle_beta 14.11
_cell_angle_gamma 14.11
loop_
_atom_site_label
_atom_site_fract_x
_atom_site_fract_y
_atom_site_fract_z
Mn1 0.000 0.000 0.000
Tc1 0.599 0.599 0.599
Tc2 0.401 0.401 0.401
Mn2 0.197 0.197 0.197
Mn3 0.803 0.803 0.803

***

# PBE-GGA Mn4Tc3, relaxed
# Total magnetization = 5.979 μB/cell
# Formation energy = 260.6 meV per atom
data_Mn4Tc3
_space_group_name_H-M_alt 'P 1'
_space_group_IT_number 1
_space_group_name_Hall 'P 1'
_cell_length_a 4.969
_cell_length_b 4.969
_cell_length_c 4.554
_cell_angle_alpha 90.00
_cell_angle_beta 90.00
_cell_angle_gamma 120.00
loop_
_atom_site_label
_atom_site_fract_x
_atom_site_fract_y
_atom_site_fract_z
Mn1 0.000 0.000 0.722
Mn2 0.667 0.333 0.500
Tc1 0.000 0.500 0.000
Mn3 0.000 0.000 0.278
Tc2 0.500 0.000 0.000
Tc3 0.500 0.500 0.000
Mn4 0.333 0.667 0.500

***

# PBE-GGA MnTc, relaxed
# Total magnetization = 6.095 μB/cell
# Formation energy = 1708.5 meV per atom
data_MnTc
_space_group_name_H-M_alt 'P 1'
_space_group_IT_number 1
_space_group_name_Hall 'P 1'
_cell_length_a 6.492
_cell_length_b 6.492
_cell_length_c 6.492
_cell_angle_alpha 90.00
_cell_angle_beta 90.00
_cell_angle_gamma 90.00
loop_
_atom_site_label
_atom_site_fract_x
_atom_site_fract_y
_atom_site_fract_z
Mn1 0.250 0.500 0.000
Mn2 0.000 0.250 0.500
Tc1 0.500 0.750 0.000
Tc2 0.500 0.250 0.000
Mn3 0.750 0.500 0.000
Mn4 0.000 0.750 0.500
Mn5 0.500 0.000 0.750
Tc3 0.000 0.500 0.750
Tc4 0.750 0.000 0.500
Mn6 0.500 0.000 0.250
Tc5 0.250 0.000 0.500
Tc6 0.000 0.500 0.250

***

# PBE-GGA MnTc, relaxed
# Total magnetization = 0.774 μB/cell
# Formation energy = 72.1 meV per atom
data_MnTc
_space_group_name_H-M_alt 'P 1'
_space_group_IT_number 1
_space_group_name_Hall 'P 1'
_cell_length_a 5.005
_cell_length_b 5.005
_cell_length_c 6.302
_cell_angle_alpha 75.34
_cell_angle_beta 75.34
_cell_angle_gamma 30.75
loop_
_atom_site_label
_atom_site_fract_x
_atom_site_fract_y
_atom_site_fract_z
Mn1 0.007 0.007 0.001
Tc1 0.326 0.326 0.334
Mn2 0.604 0.604 0.269
Tc2 0.957 0.957 0.608
Mn3 0.663 0.663 0.675
Tc3 0.277 0.277 0.947

***

# PBE-GGA MnTc3, relaxed
# Total magnetization = 1.582 μB/cell
# Formation energy = 133.8 meV per atom
data_MnTc3
_space_group_name_H-M_alt 'P 1'
_space_group_IT_number 1
_space_group_name_Hall 'P 1'
_cell_length_a 2.715
_cell_length_b 8.878
_cell_length_c 2.715
_cell_angle_alpha 98.80
_cell_angle_beta 60.00
_cell_angle_gamma 98.80
loop_
_atom_site_label
_atom_site_fract_x
_atom_site_fract_y
_atom_site_fract_z
Tc1 0.747 0.242 0.747
Tc2 0.253 0.758 0.253
Tc3 0.500 0.500 0.500
Mn1 0.000 0.000 0.000

***

> Which value of formation energy does entry 6 give?

1708.5 meV per atom